# Ho12PuIn3

An optimized crystal structure of Ho12PuIn3 (PBE-GGA, Alexandria via LeMat-Bulk).

```
data_Ho12PuIn3
_cell_length_a 4.821
_cell_length_b 4.821
_cell_length_c 19.579
_cell_angle_alpha 90.00
_cell_angle_beta 90.00
_cell_angle_gamma 90.00
_space_group_name_H-M_alt 'P 4/m m m'
_space_group_IT_number 123
_space_group_name_Hall '-P 4 2'
loop_
_atom_site_label
_atom_site_type_symbol
_atom_site_fract_x
_atom_site_fract_y
_atom_site_fract_z
Ho1 Ho 0.000 0.000 0.000
Ho2 Ho 0.000 0.000 0.248
Ho3 Ho 0.000 0.000 0.500
Ho4 Ho 0.000 0.500 0.124
Ho5 Ho 0.000 0.500 0.373
Pu1 Pu 0.500 0.500 0.500
In1 In 0.500 0.500 0.000
In2 In 0.500 0.500 0.246
```

DOS at the Fermi energy = 24.60 states/eV per cell
DFT formation energy = -171 meV per atom